SmGdPt: optimized geometry, PBE.

It has space group P3m1 (No. 156), with a = 4.1399 Å, b = 4.1399 Å, c = 6.3003 Å, α = 90.00°, β = 90.00° and γ = 120.00°. The distinct sites, in fractional coordinates, are Sm at (0.0000, 0.0000, 0.0000), Gd at (0.3333, 0.6667, 0.4901) and Pt at (0.6667, 0.3333, 0.2487).

As for the energy above the most stable polymorph in this dataset: 70 meV per atom. The calculated density comes out at 8.93 Mg/m³. For the formation energy, the calculation gives -0.72 eV per atom. As for the density of states at the Fermi level: 3.44 states/eV/f.u. As for the magnetization: 7.33 μB/f.u.

***

Nd3SmHo: optimized geometry, PBE.

It has space group C2/m (No. 12), with a = 17.5857 Å, b = 6.8657 Å, c = 6.1009 Å, α = 90.00°, β = 110.03° and γ = 90.00°. The distinct sites, in fractional coordinates, are Nd at (0.1526, 0.2329, 0.4021), Nd at (0.2260, 0.5000, 0.9751), Sm at (0.0000, 0.5000, 0.0000), Sm at (0.0000, 0.5000, 0.5000) and Ho at (0.0512, 0.0000, 0.8007).

As for the energy above the most stable polymorph in this dataset: 0 meV per atom. The calculated density comes out at 7.18 Mg/m³. For the formation energy, the calculation gives 0.19 eV per atom. As for the density of states at the Fermi level: 8.28 states/eV/f.u. As for the magnetization: 0.00 μB/f.u.

***

SbOs2Br: optimized geometry, PBE.

It has space group P4/mmm (No. 123), with a = 3.2415 Å, b = 3.2415 Å, c = 6.8656 Å, α = 90.00°, β = 90.00° and γ = 90.00°. The distinct sites, in fractional coordinates, are Sb at (0.0000, 0.0000, 0.0000), Os at (0.5000, 0.5000, 0.2135) and Br at (0.0000, 0.0000, 0.5000).

As for the energy above the most stable polymorph in this dataset: 692 meV per atom. The calculated density comes out at 13.40 Mg/m³. The value obtained for the uncorrected formation energy is 1.118 eV per atom. As for the density of states at the Fermi level: 4.13 states/eV/f.u. As for the magnetization: 0.00 μB/f.u.

***

Re2IrW: optimized geometry, PBE.

It has space group Cm (No. 8), with a = 9.2079 Å, b = 2.7621 Å, c = 4.8364 Å, α = 90.00°, β = 99.97° and γ = 90.00°. The distinct sites, in fractional coordinates, are Re at (0.0000, 0.0000, 0.0000), Re at (0.2476, 0.0000, 0.7632), Ir at (0.2451, 0.5000, 0.2509) and W at (0.4969, 0.0000, 0.4977).

As for the energy above the most stable polymorph in this dataset: 70 meV per atom. The calculated density comes out at 20.52 Mg/m³. For the formation energy, the calculation gives -0.03 eV per atom. As for the density of states at the Fermi level: 2.74 states/eV/f.u. As for the magnetization: 0.00 μB/f.u.

***

KP2Se: optimized geometry, PBE.

It has space group C2/m (No. 12), with a = 10.3377 Å, b = 3.3950 Å, c = 5.8942 Å, α = 90.00°, β = 109.25° and γ = 90.00°. The distinct sites, in fractional coordinates, are K at (0.0000, 0.0000, 0.0000), P at (0.2193, 0.0000, 0.6019) and Se at (0.0000, 0.5000, 0.5000).

The calculated density comes out at 3.06 Mg/m³. The value obtained for the uncorrected formation energy is -0.186 eV per atom. As for the density of states at the Fermi level: 1.80 states/eV/f.u. As for the magnetization: 0.00 μB/f.u.

***

CdTc2Pb: optimized geometry, PBE.

It has space group I-4m2 (No. 119), with a = 4.2770 Å, b = 4.2770 Å, c = 7.9211 Å, α = 90.00°, β = 90.00° and γ = 90.00°. The distinct sites, in fractional coordinates, are Cd at (0.0000, 0.0000, 0.0000), Tc at (0.0000, 0.0000, 0.5000), Tc at (0.0000, 0.5000, 0.2500) and Pb at (0.0000, 0.5000, 0.7500).

As for the energy above the most stable polymorph in this dataset: 528 meV per atom. The calculated density comes out at 11.82 Mg/m³. For the formation energy, the calculation gives 0.74 eV per atom. As for the density of states at the Fermi level: 4.30 states/eV/f.u. As for the magnetization: 0.00 μB/f.u.

***

Ba5Mo: optimized geometry, PBE.

It has space group P6/mmm (No. 191), with a = 7.3955 Å, b = 7.3955 Å, c = 7.2044 Å, α = 90.00°, β = 90.00° and γ = 120.00°. The distinct sites, in fractional coordinates, are Ba at (0.0000, 0.5000, 0.0000), Ba at (0.3333, 0.6667, 0.5000) and Mo at (0.0000, 0.0000, 0.5000).

As for the energy above the most stable polymorph in this dataset: 520 meV per atom. The calculated density comes out at 3.81 Mg/m³. For the formation energy, the calculation gives 1.05 eV per atom. As for the density of states at the Fermi level: 7.75 states/eV/f.u. As for the magnetization: 3.76 μB/f.u.

***

ReOs2Pt: optimized geometry, PBE.

It has space group Immm (No. 71), with a = 2.7347 Å, b = 4.6220 Å, c = 9.8622 Å, α = 90.00°, β = 90.00° and γ = 90.00°. The distinct sites, in fractional coordinates, are Re at (0.0000, 0.0000, 0.0000), Os at (0.0000, 0.5000, 0.2779) and Pt at (0.0000, 0.0000, 0.5000).

As for the energy above the most stable polymorph in this dataset: 366 meV per atom. The calculated density comes out at 20.29 Mg/m³. For the formation energy, the calculation gives 0.42 eV per atom. As for the density of states at the Fermi level: 4.23 states/eV/f.u. As for the magnetization: 0.00 μB/f.u.

***

Tb12Ni6Ag: optimized geometry, PBE.

It has space group Im-3 (No. 204), with a = 9.7117 Å, b = 9.7117 Å, c = 9.7117 Å, α = 90.00°, β = 90.00° and γ = 90.00°. The distinct sites, in fractional coordinates, are Tb at (0.0000, 0.1864, 0.3034), Ni at (0.0000, 0.3760, 0.5000) and Ag at (0.0000, 0.0000, 0.0000).

As for the energy above the most stable polymorph in this dataset: 0 meV per atom. The calculated density comes out at 8.58 Mg/m³. For the formation energy, the calculation gives -0.31 eV per atom. As for the density of states at the Fermi level: 23.21 states/eV/f.u. As for the magnetization: 0.00 μB/f.u.

***

Lu2OsO: optimized geometry, PBE.

It has space group R-3m (No. 166, hexagonal axes), with a = 3.2951 Å, b = 3.2951 Å, c = 21.2120 Å, α = 90.00°, β = 90.00° and γ = 120.00°. The distinct sites, in fractional coordinates, are Lu at (0.0000, 0.0000, 0.2364), Os at (0.0000, 0.0000, 0.0000) and O at (0.0000, 0.0000, 0.5000).

As for the energy above the most stable polymorph in this dataset: 0 meV per atom. The calculated density comes out at 13.89 Mg/m³. The value obtained for the uncorrected formation energy is -1.427 eV per atom. As for the density of states at the Fermi level: 2.18 states/eV/f.u. As for the magnetization: 0.00 μB/f.u.

***

LaPm4SmSe8: optimized geometry, PBE.

It has space group R3m (No. 160, hexagonal axes), with a = 8.6810 Å, b = 8.6810 Å, c = 21.2246 Å, α = 90.00°, β = 90.00° and γ = 120.00°. The distinct sites, in fractional coordinates, are La at (0.0000, 0.0000, 0.0000), Pm at (0.0000, 0.0000, 0.7507), Pm at (0.1677, 0.3354, 0.2085), Sm at (0.0000, 0.0000, 0.3763), Se at (0.0000, 0.0000, 0.1352), Se at (0.0000, 0.0000, 0.6185), Se at (0.0200, 0.5100, 0.1274) and Se at (0.1806, 0.3612, 0.9559).

The calculated density comes out at 5.40 Mg/m³. The value obtained for the uncorrected formation energy is -1.752 eV per atom. As for the density of states at the Fermi level: 9.33 states/eV/f.u. As for the magnetization: 0.00 μB/f.u.

***

Pm7Nd2Y: optimized geometry, PBE.

It has space group Cmmm (No. 65), with a = 6.7359 Å, b = 29.4370 Å, c = 3.5057 Å, α = 90.00°, β = 90.00° and γ = 90.00°. The distinct sites, in fractional coordinates, are Pm at (0.0000, 0.0000, 0.0000), Pm at (0.0000, 0.3118, 0.5000), Pm at (0.2445, 0.4016, 0.0000), Nd at (0.0000, 0.2047, 0.0000) and Y at (0.0000, 0.5000, 0.5000).

As for the energy above the most stable polymorph in this dataset: 0 meV per atom. The calculated density comes out at 6.65 Mg/m³. For the formation energy, the calculation gives 0.15 eV per atom. As for the density of states at the Fermi level: 15.55 states/eV/f.u. As for the magnetization: 0.00 μB/f.u.

***

InCo3Bi: optimized geometry, PBE.

It has space group Pm-3m (No. 221), with a = 4.8503 Å, b = 4.8503 Å, c = 4.8503 Å, α = 90.00°, β = 90.00° and γ = 90.00°. The distinct sites, in fractional coordinates, are In at (0.0000, 0.0000, 0.0000), Co at (0.0000, 0.5000, 0.5000) and Bi at (0.5000, 0.5000, 0.5000).

As for the energy above the most stable polymorph in this dataset: 27 meV per atom. The calculated density comes out at 7.29 Mg/m³. For the formation energy, the calculation gives 1.29 eV per atom. As for the density of states at the Fermi level: 11.11 states/eV/f.u. As for the magnetization: 4.94 μB/f.u.

***

Si2Ir2Os: optimized geometry, PBE.

It has space group P4/mbm (No. 127), with a = 7.0376 Å, b = 7.0376 Å, c = 2.7698 Å, α = 90.00°, β = 90.00° and γ = 90.00°. The distinct sites, in fractional coordinates, are Si at (0.1531, 0.3469, 0.0000), Ir at (0.1461, 0.6461, 0.5000) and Os at (0.0000, 0.0000, 0.0000).

The calculated density comes out at 15.27 Mg/m³. The value obtained for the uncorrected formation energy is -0.195 eV per atom. As for the density of states at the Fermi level: 3.89 states/eV/f.u. As for the magnetization: 0.00 μB/f.u.

***

ZrZnSb2: optimized geometry, PBE.

It has space group Immm (No. 71), with a = 3.9308 Å, b = 5.0211 Å, c = 8.8879 Å, α = 90.00°, β = 90.00° and γ = 90.00°. The distinct sites, in fractional coordinates, are Zr at (0.0000, 0.0000, 0.0000), Zn at (0.0000, 0.0000, 0.5000) and Sb at (0.0000, 0.5000, 0.2380).

The calculated density comes out at 7.58 Mg/m³. The value obtained for the uncorrected formation energy is -0.197 eV per atom. As for the density of states at the Fermi level: 2.40 states/eV/f.u. As for the magnetization: 0.00 μB/f.u.

***

Mn3NiW: optimized geometry, PBE.

It has space group Pm-3m (No. 221), with a = 4.1185 Å, b = 4.1185 Å, c = 4.1185 Å, α = 90.00°, β = 90.00° and γ = 90.00°. The distinct sites, in fractional coordinates, are Mn at (0.0000, 0.0000, 0.5000), Ni at (0.0000, 0.0000, 0.0000) and W at (0.5000, 0.5000, 0.5000).

As for the energy above the most stable polymorph in this dataset: 0 meV per atom. The calculated density comes out at 9.68 Mg/m³. For the formation energy, the calculation gives 1.52 eV per atom. As for the density of states at the Fermi level: 12.99 states/eV/f.u. As for the magnetization: 0.00 μB/f.u.

***

Nb2ReNi: optimized geometry, PBE.

It has space group P4/mmm (No. 123), with a = 4.4429 Å, b = 4.4429 Å, c = 3.2022 Å, α = 90.00°, β = 90.00° and γ = 90.00°. The distinct sites, in fractional coordinates, are Nb at (0.0000, 0.5000, 0.0000), Re at (0.0000, 0.0000, 0.5000) and Ni at (0.5000, 0.5000, 0.5000).

The calculated density comes out at 11.31 Mg/m³. For the formation energy, the calculation gives -0.13 eV per atom. As for the density of states at the Fermi level: 4.62 states/eV/f.u. As for the magnetization: 0.00 μB/f.u.

***

Er2LuMn: optimized geometry, PBE.

It has space group R-3m (No. 166, hexagonal axes), with a = 3.3449 Å, b = 3.3449 Å, c = 33.4116 Å, α = 90.00°, β = 90.00° and γ = 120.00°. The distinct sites, in fractional coordinates, are Er at (0.0000, 0.0000, 0.0824), Lu at (0.0000, 0.0000, 0.5000) and Mn at (0.0000, 0.0000, 0.0000).

As for the energy above the most stable polymorph in this dataset: 387 meV per atom. The calculated density comes out at 8.69 Mg/m³. For the formation energy, the calculation gives 0.50 eV per atom. As for the density of states at the Fermi level: 5.19 states/eV/f.u. As for the magnetization: 3.13 μB/f.u.

***

GaSiPb2: optimized geometry, PBE.

It has space group I-42d (No. 122), with a = 6.4372 Å, b = 6.4372 Å, c = 12.4166 Å, α = 90.00°, β = 90.00° and γ = 90.00°. The distinct sites, in fractional coordinates, are Ga at (0.0000, 0.0000, 0.0000), Si at (0.0000, 0.0000, 0.5000) and Pb at (0.2406, 0.2500, 0.6250).

The calculated density comes out at 6.61 Mg/m³. The value obtained for the uncorrected formation energy is 0.357 eV per atom. As for the density of states at the Fermi level: 1.87 states/eV/f.u. As for the magnetization: 0.00 μB/f.u.

***

Y3HoO: optimized geometry, PBE.

It has space group Pm-3m (No. 221), with a = 4.9558 Å, b = 4.9558 Å, c = 4.9558 Å, α = 90.00°, β = 90.00° and γ = 90.00°. The distinct sites, in fractional coordinates, are Y at (0.0000, 0.0000, 0.5000), Ho at (0.5000, 0.5000, 0.5000) and O at (0.0000, 0.0000, 0.0000).

As for the energy above the most stable polymorph in this dataset: 30 meV per atom. The calculated density comes out at 6.11 Mg/m³. The value obtained for the uncorrected formation energy is -1.078 eV per atom. As for the density of states at the Fermi level: 5.19 states/eV/f.u. As for the magnetization: 0.00 μB/f.u.